No. 1
# Ba2Mg | Alexandria via LeMat-Bulk | PBE | relaxed
data_Ba2Mg
_space_group_name_H-M_alt 'C 1 2/m 1'
_space_group_IT_number 12
_cell_length_a 14.781
_cell_length_b 4.322
_cell_length_c 9.640
_cell_angle_alpha 90.00
_cell_angle_beta 109.25
_cell_angle_gamma 90.00
loop_
_space_group_symop_operation_xyz
'x,y,z'
'-x,-y,-z'
'-x,y,-z'
'x,-y,z'
'x+1/2,y+1/2,z'
'-x+1/2,-y+1/2,-z'
'-x+1/2,y+1/2,-z'
'x+1/2,-y+1/2,z'
loop_
_atom_site_label
_atom_site_type_symbol
_atom_site_fract_x
_atom_site_fract_y
_atom_site_fract_z
Ba1 Ba 0.028 0.000 0.212
Ba2 Ba 0.175 0.500 0.640
Mg1 Mg 0.180 0.500 0.038
# Energy relative to the elements, meV per atom: 2.9
# Calculated density, Mg/m³: 3.4
# N(E_F), states/eV/f.u.: 3.6

=====

No. 2
# K2LiMnNi | Alexandria via LeMat-Bulk | PBE | relaxed
data_K2LiMnNi
_space_group_name_H-M_alt 'P 4/m m m'
_space_group_IT_number 123
_space_group_name_Hall '-P 4 2'
_cell_length_a 6.484
_cell_length_b 6.484
_cell_length_c 4.536
_cell_angle_alpha 90.00
_cell_angle_beta 90.00
_cell_angle_gamma 90.00
loop_
_atom_site_label
_atom_site_type_symbol
_atom_site_fract_x
_atom_site_fract_y
_atom_site_fract_z
K1 K 0.000 0.500 0.000
Li1 Li 0.000 0.000 0.500
Mn1 Mn 0.500 0.500 0.000
Ni1 Ni 0.500 0.500 0.500
# Energy relative to the elements, meV per atom: 770.5
# Calculated density, Mg/m³: 1.7
# N(E_F), states/eV/f.u.: 3.9

=====

no.,total DFT energy (no corrections) (eV/cell)
1,-21.726
2,-15.207